[1]
{
  "formula": "TaCrSb3",
  "functional": "PBE-GGA",
  "state": "relaxed",
  "cell": [[5.015, 0.000, 0.000], [0.000, 5.015, 0.000], [0.000, 0.000, 5.015]],
  "species": ["Sb", "Sb", "Sb", "Cr", "Ta"],
  "frac_coords": [[0.000, 0.500, 0.000], [0.000, 0.000, 0.500], [0.500, 0.000, 0.000], [0.000, 0.000, 0.000], [0.500, 0.500, 0.500]],
  "spacegroup": "Pm-3m",
  "relative_energy_mev_per_atom": 0,
  "formation_energy_uncorrected_ev_per_atom": 1.0653
}

---

[2]
{
  "formula": "GeRhC3",
  "functional": "PBE-GGA",
  "state": "relaxed",
  "cell": [[4.017, 0.000, 0.000], [0.000, 4.017, 0.000], [0.000, 0.000, 4.017]],
  "species": ["Ge", "Rh", "C", "C", "C"],
  "frac_coords": [[0.500, 0.500, 0.500], [0.000, 0.000, 0.000], [0.000, 0.500, 0.000], [0.000, 0.000, 0.500], [0.500, 0.000, 0.000]],
  "spacegroup": "Pm-3m",
  "e_form_ev_per_atom": 2.31,
  "relative_energy_mev_per_atom": 0
}

---

[3]
{
  "formula": "KFeHg3",
  "functional": "PBE-GGA",
  "state": "relaxed",
  "cell": [[-4.100, 1.063, -3.050], [0.954, -4.310, -2.785], [-3.086, -2.745, 3.191]],
  "species": ["K", "Hg", "Hg", "Hg", "Fe"],
  "frac_coords": [[0.500, 0.500, 0.500], [0.000, 0.500, 0.000], [0.000, 0.000, 0.500], [0.500, 0.000, 0.000], [0.000, 0.000, 0.000]],
  "spacegroup": "Pm-3m",
  "e_form_ev_per_atom": 0.10,
  "relative_energy_mev_per_atom": 0
}

---

[4]
{
  "formula": "Ba2CaIn4Hg3",
  "functional": "PBE-GGA",
  "state": "relaxed",
  "cell": [[4.769, 0.000, 0.000], [0.000, 4.769, 0.000], [0.000, 0.000, 13.839]],
  "species": ["Ba", "Ba", "Ca", "In", "In", "In", "In", "Hg", "Hg", "Hg"],
  "frac_coords": [[0.500, 0.000, 0.228], [0.000, 0.500, 0.772], [0.500, 0.500, 0.500], [0.500, 0.500, 0.000], [0.000, 0.000, 0.000], [0.500, 0.000, 0.653], [0.000, 0.500, 0.347], [0.000, 0.000, 0.500], [0.500, 0.000, 0.864], [0.000, 0.500, 0.136]],
  "spacegroup": "P-4m2",
  "e_form_ev_per_atom": -0.38
}

---

[5]
{
  "formula": "BaTc2Os",
  "functional": "PBE-GGA",
  "state": "relaxed",
  "cell": [[-2.983, -2.179, -3.223], [0.046, -3.285, -3.638], [-1.550, -5.328, 2.894]],
  "species": ["Ba", "Os", "Tc", "Tc"],
  "frac_coords": [[0.750, 0.750, 0.750], [0.250, 0.250, 0.250], [0.963, 0.963, 0.124], [0.537, 0.537, 0.376]],
  "spacegroup": "C2/m",
  "e_form_ev_per_atom": 0.75,
  "relative_energy_mev_per_atom": 42
}

---

[6]
{
  "formula": "Ta2TcBr",
  "functional": "PBE-GGA",
  "state": "relaxed",
  "cell": [[5.401, -0.007, 0.004], [2.440, 4.819, -0.004], [-3.382, -3.283, 2.637]],
  "species": ["Tc", "Br", "Ta", "Ta"],
  "frac_coords": [[0.750, 0.250, 0.500], [0.250, 0.750, 0.500], [0.998, 0.998, 0.000], [0.502, 0.502, 0.000]],
  "spacegroup": "Immm",
  "relative_energy_mev_per_atom": 514,
  "formation_energy_uncorrected_ev_per_atom": 0.5770
}

---

[7]
{
  "formula": "Pm4HoTm5",
  "functional": "PBE-GGA",
  "state": "relaxed",
  "cell": [[-0.424, -4.217, -4.062], [7.271, -2.880, -2.011], [-0.760, -7.285, 3.400]],
  "species": ["Pm", "Pm", "Pm", "Pm", "Ho", "Tm", "Tm", "Tm", "Tm", "Tm"],
  "frac_coords": [[0.453, 0.323, 0.677], [0.776, 0.677, 0.677], [0.130, 0.323, 0.323], [0.453, 0.677, 0.323], [0.211, 0.000, 0.000], [0.761, 0.378, 0.000], [0.139, 0.000, 0.622], [0.761, 0.000, 0.378], [0.139, 0.622, 0.000], [0.689, 0.000, 0.000]],
  "spacegroup": "I4mm",
  "e_form_ev_per_atom": 0.25,
  "relative_energy_mev_per_atom": 49
}

---

[8]
{
  "formula": "PtIBr2",
  "functional": "PBE-GGA",
  "state": "relaxed",
  "cell": [[10.106, 0.000, 0.000], [0.000, 10.106, 0.000], [5.053, 5.053, 2.792]],
  "species": ["I", "I", "Br", "Br", "Br", "Br", "Pt", "Pt"],
  "frac_coords": [[0.500, 0.500, 0.000], [0.250, 0.750, 0.500], [0.875, 0.125, 0.250], [0.875, 0.625, 0.250], [0.375, 0.125, 0.750], [0.875, 0.125, 0.750], [0.000, 0.000, 0.000], [0.750, 0.250, 0.500]],
  "spacegroup": "I4_1/amd",
  "relative_energy_mev_per_atom": 267,
  "formation_energy_uncorrected_ev_per_atom": 0.1392
}